Entry 1:
A geometry-optimized Zn2In2Cl5 structure, computed with PBE.

abc: 5.4011 7.4052 6.9795
angles: 103.07 90.00 111.39
Closest atoms and distances in Å follow each position.
Fractional positions:
1 Zn 0.1586 0.3172 0.9008  3 Cl 2.39-2.48
2 Zn 0.8414 0.6828 0.0992  3 Cl 2.39-2.48
3 In 0.4007 0.8014 0.6532  4 Cl 3.11-3.23
4 In 0.5993 0.1986 0.3468  4 Cl 3.11-3.23
5 Cl 0.3387 0.6774 0.0713  3 Zn 2.48-2.71
6 Cl 0.6613 0.3226 0.9287  3 Zn 2.48-2.71
7 Cl 0.1682 0.3365 0.5641  1 Zn 2.39
8 Cl 0.8318 0.6635 0.4359  1 Zn 2.39
9 Cl 0.0000 0.0000 0.0000  2 Zn 2.45

Calculated values
ΔE_f (raw), eV per atom: -0.76
Symmetry: C2/m, No. 12
VASP energy, eV per atom: -2.681


Entry 2:
A geometry-optimized Zn3In2Cl8 structure, computed with PBE.

abc: 9.2992 6.2194 9.0197
angles: 111.76 121.03 90.00
Closest atoms and distances in Å follow each position.
Fractional positions:
1 Zn 0.0000 0.5000 0.0000  2 Cl 2.22
2 Zn 0.6732 0.0000 0.0000  4 Cl 2.26-2.36
3 Zn 0.3268 0.0000 0.0000  4 Cl 2.26-2.36
4 In 0.2457 0.3613 0.4915  3 Cl 2.97-3.08
5 In 0.7543 0.6387 0.5085  3 Cl 2.97-3.08
6 Cl 0.5984 0.9390 0.1969  2 Zn 2.36
7 Cl 0.4016 0.0610 0.8031  2 Zn 2.36
8 Cl 0.1358 0.8339 0.2716  1 Zn 2.22
9 Cl 0.8642 0.1661 0.7284  1 Zn 2.22
10 Cl 0.1207 0.6571 0.8236  1 Zn 2.26
11 Cl 0.7029 0.6571 0.8236  1 Zn 2.26
12 Cl 0.2971 0.3429 0.1764  1 Zn 2.26
13 Cl 0.8793 0.3429 0.1764  1 Zn 2.26

Calculated values
ΔE_f (raw), eV per atom: -1.01
Symmetry: C2/m, No. 12
VASP energy, eV per atom: -2.863


Entry 3:
A geometry-optimized ZnIn5Cl8 structure, computed with PBE.

abc: 8.8901 8.8901 8.8901
angles: 106.80 106.80 114.96
Closest atoms and distances in Å follow each position.
Fractional positions:
1 Zn 0.2500 0.7500 0.5000  4 Cl 2.31
2 In 0.8910 0.3684 0.9985  5 Cl 2.99-3.30
3 In 0.6316 0.6301 0.5226  5 Cl 2.99-3.30
4 In 0.3699 0.8924 0.0015  5 Cl 2.99-3.30
5 In 0.5000 0.5000 0.0000  4 Cl 2.65
6 In 0.1076 0.1090 0.4774  5 Cl 2.99-3.30
7 Cl 0.1878 0.8203 0.2684  1 Zn 2.31
8 Cl 0.1797 0.4480 0.3675  1 Zn 2.31
9 Cl 0.6906 0.8565 0.2453  1 In 2.65
10 Cl 0.1435 0.3889 0.8341  1 In 2.65
11 Cl 0.5547 0.3094 0.1659  1 In 2.65
12 Cl 0.0805 0.8122 0.6325  1 Zn 2.31
13 Cl 0.5520 0.9195 0.7316  1 Zn 2.31
14 Cl 0.6111 0.4453 0.7547  1 In 2.65

Calculated values
ΔE_f (raw), eV per atom: -0.87
Symmetry: I-4, No. 82
VASP energy, eV per atom: -2.992


Entry 4:
A geometry-optimized Zn3InCl structure, computed with PBE.

abc: 5.1559 5.1559 5.1559
angles: 90.00 90.00 90.00
Closest atoms and distances in Å follow each position.
Fractional positions:
1 Zn 0.0000 0.5000 0.0000  2 In 2.58
2 Zn 0.0000 0.0000 0.5000  2 In 2.58
3 Zn 0.5000 0.0000 0.0000  2 In 2.58
4 Cl 0.5000 0.5000 0.5000  12 Zn 3.65
5 In 0.0000 0.0000 0.0000  6 Zn 2.58

Calculated values
ΔE_f (raw), eV per atom: 0.13
Symmetry: Pm-3m, No. 221
VASP energy, eV per atom: -1.555
Excess energy over the best structure of this formula in the dataset, meV/atom: 0.0


Entry 5:
A geometry-optimized Zn2In2Cl structure, computed with PBE.

abc: 8.0824 8.0824 3.5028
angles: 90.00 90.00 90.00
Closest atoms and distances in Å follow each position.
Fractional positions:
1 Zn 0.3889 0.8889 0.0000  1 Zn 2.54, 2 In 2.84
2 Zn 0.8889 0.6111 0.0000  1 Zn 2.54, 2 In 2.84
3 Zn 0.6111 0.1111 0.0000  1 Zn 2.54, 2 In 2.84
4 Zn 0.1111 0.3889 0.0000  1 Zn 2.54, 2 In 2.84
5 Cl 0.0000 0.0000 0.0000  4 Zn 3.27, 8 In 3.41, 2 Cl 3.50
6 Cl 0.5000 0.5000 0.0000  4 Zn 3.27, 8 In 3.41, 2 Cl 3.50
7 In 0.1934 0.6934 0.5000  6 Zn 2.84-3.09
8 In 0.6934 0.8066 0.5000  6 Zn 2.84-3.09
9 In 0.8066 0.3066 0.5000  6 Zn 2.84-3.09
10 In 0.3066 0.1934 0.5000  6 Zn 2.84-3.09

Calculated values
ΔE_f (raw), eV per atom: -0.11
Symmetry: P4/mbm, No. 127
VASP energy, eV per atom: -2.080
Excess energy over the best structure of this formula in the dataset, meV/atom: 28.4


Entry 6:
A geometry-optimized ZnIn3Cl4 structure, computed with PBE.

abc: 6.4423 11.5283 7.0082
angles: 90.00 90.00 90.00
Closest atoms and distances in Å follow each position.
Fractional positions:
1 Zn 0.9547 0.1924 0.0000  4 Cl 2.26-2.30
2 Zn 0.4547 0.8076 0.5000  4 Cl 2.26-2.30
3 In 0.5067 0.9710 0.0000  4 Cl 3.03-3.23
4 In 0.1067 0.5047 0.2565  1 Cl 2.83
5 In 0.6067 0.4953 0.2435  1 Cl 2.83
6 In 0.0067 0.0290 0.5000  4 Cl 3.03-3.23
7 In 0.6067 0.4953 0.7565  1 Cl 2.83
8 In 0.1067 0.5047 0.7435  1 Cl 2.83
9 Cl 0.9761 0.9931 0.0000  1 Zn 2.30
10 Cl 0.6172 0.2447 0.0000  1 Zn 2.26
11 Cl 0.1235 0.2595 0.2631  1 Zn 2.28
12 Cl 0.6235 0.7405 0.2369  1 Zn 2.28
13 Cl 0.1172 0.7553 0.5000  1 Zn 2.26
14 Cl 0.4761 0.0069 0.5000  1 Zn 2.30
15 Cl 0.6235 0.7405 0.7631  1 Zn 2.28
16 Cl 0.1235 0.2595 0.7369  1 Zn 2.28

Calculated values
ΔE_f (raw), eV per atom: -0.77
Symmetry: Pmn2_1, No. 31
VASP energy, eV per atom: -2.881